Entry a
This record from Alexandria describes a relaxed structure of Zr3NbRh. The functional is PBE.

Unit cell a=4.9711 b=4.9711 c=4.9711 alpha=90.00 beta=90.00 gamma=90.00
Last column: nearest neighbours and their distance in Å.
Positions (direct):
Nb1 0.5000 0.5000 0.5000  12 Zr 3.52
Rh1 0.0000 0.0000 0.0000  6 Zr 2.49
Zr1 0.0000 0.5000 0.0000  2 Rh 2.49
Zr2 0.0000 0.0000 0.5000  2 Rh 2.49
Zr3 0.5000 0.0000 0.0000  2 Rh 2.49

Properties
D(E_F)	7.9	states/eV/f.u.
crystal system	cubic


Entry b
This record from Alexandria describes a relaxed structure of Zr3NbRh. The functional is PBE.

Unit cell a=4.9987 b=4.9987 c=4.9987 alpha=90.00 beta=90.00 gamma=90.00
Last column: nearest neighbours and their distance in Å.
Positions (direct):
Nb1 0.0000 0.0000 0.0000  6 Zr 2.50
Rh1 0.5000 0.5000 0.5000  12 Zr 3.53
Zr1 0.0000 0.5000 0.0000  2 Nb 2.50
Zr2 0.0000 0.0000 0.5000  2 Nb 2.50
Zr3 0.5000 0.0000 0.0000  2 Nb 2.50

Properties
D(E_F)	9.2	states/eV/f.u.
crystal system	cubic


Computed stability ranking, most favorable first: entry a, entry b


Entry a
This record from Alexandria describes a relaxed structure of ZrNb2Rh2. The functional is PBE.

Unit cell a=7.6175 b=7.6175 c=3.0582 alpha=90.00 beta=90.00 gamma=90.00
Last column: nearest neighbours and their distance in Å.
Positions (direct):
Nb1 0.1701 0.6701 0.5000  6 Rh 2.65-2.76
Nb2 0.6701 0.8299 0.5000  6 Rh 2.65-2.76
Nb3 0.8299 0.3299 0.5000  6 Rh 2.65-2.76
Nb4 0.3299 0.1701 0.5000  6 Rh 2.65-2.76
Rh1 0.3715 0.8715 0.0000  6 Nb 2.65-2.76, 1 Rh 2.77
Rh2 0.8715 0.6285 0.0000  6 Nb 2.65-2.76, 1 Rh 2.77
Rh3 0.6285 0.1285 0.0000  6 Nb 2.65-2.76, 1 Rh 2.77
Rh4 0.1285 0.3715 0.0000  6 Nb 2.65-2.76, 1 Rh 2.77
Zr1 0.0000 0.0000 0.0000  4 Rh 2.99, 2 Zr 3.06, 8 Nb 3.21
Zr2 0.5000 0.5000 0.0000  4 Rh 2.99, 2 Zr 3.06, 8 Nb 3.21

Properties
D(E_F)	7.1	states/eV/f.u.
crystal system	tetragonal


Entry b
This record from Alexandria describes a relaxed structure of ZrNb2Rh2. The functional is PBE.

Unit cell a=7.8126 b=7.8126 c=2.9011 alpha=90.00 beta=90.00 gamma=90.00
Last column: nearest neighbours and their distance in Å.
Positions (direct):
Nb1 0.3468 0.8468 0.0000  6 Rh 2.67-2.74, 2 Nb 2.90, 2 Zr 2.96
Nb2 0.8468 0.6532 0.0000  6 Rh 2.67-2.74, 2 Nb 2.90, 2 Zr 2.96
Nb3 0.6532 0.1532 0.0000  6 Rh 2.67-2.74, 2 Nb 2.90, 2 Zr 2.96
Nb4 0.1532 0.3468 0.0000  6 Rh 2.67-2.74, 2 Nb 2.90, 2 Zr 2.96
Rh1 0.1436 0.6436 0.5000  6 Nb 2.67-2.74, 2 Rh 2.90
Rh2 0.6436 0.8564 0.5000  6 Nb 2.67-2.74, 2 Rh 2.90
Rh3 0.8564 0.3564 0.5000  6 Nb 2.67-2.74, 2 Rh 2.90
Rh4 0.3564 0.1436 0.5000  6 Nb 2.67-2.74, 2 Rh 2.90
Zr1 0.0000 0.0000 0.0000  2 Zr 2.90, 4 Nb 2.96
Zr2 0.5000 0.5000 0.0000  2 Zr 2.90, 4 Nb 2.96

Properties
D(E_F)	4.3	states/eV/f.u.
crystal system	tetragonal


Computed stability ranking, most favorable first: entry a, entry b


Entry a
This record from Alexandria describes a relaxed structure of Zr2NbRh2. The functional is PBE.

Unit cell a=7.4344 b=7.4344 c=3.3730 alpha=90.00 beta=90.00 gamma=90.00
Last column: nearest neighbours and their distance in Å.
Positions (direct):
Nb1 0.0000 0.0000 0.0000  4 Rh 2.91, 8 Zr 3.23
Nb2 0.5000 0.5000 0.0000  4 Rh 2.91, 8 Zr 3.23
Rh1 0.3696 0.8696 0.0000  6 Zr 2.68-2.82, 1 Rh 2.74, 2 Nb 2.91
Rh2 0.8696 0.6304 0.0000  6 Zr 2.68-2.82, 1 Rh 2.74, 2 Nb 2.91
Rh3 0.6304 0.1304 0.0000  6 Zr 2.68-2.82, 1 Rh 2.74, 2 Nb 2.91
Rh4 0.1304 0.3696 0.0000  6 Zr 2.68-2.82, 1 Rh 2.74, 2 Nb 2.91
Zr1 0.1713 0.6713 0.5000  6 Rh 2.68-2.82
Zr2 0.6713 0.8287 0.5000  6 Rh 2.68-2.82
Zr3 0.8287 0.3287 0.5000  6 Rh 2.68-2.82
Zr4 0.3287 0.1713 0.5000  6 Rh 2.68-2.82

Properties
D(E_F)	7.2	states/eV/f.u.
crystal system	tetragonal


Entry b
This record from Alexandria describes a relaxed structure of Zr2NbRh2. The functional is PBE.

Unit cell a=7.7938 b=7.7938 c=3.0519 alpha=90.00 beta=90.00 gamma=90.00
Last column: nearest neighbours and their distance in Å.
Positions (direct):
Nb1 0.0000 0.0000 0.0000  4 Zr 2.95, 2 Nb 3.05
Nb2 0.5000 0.5000 0.0000  4 Zr 2.95, 2 Nb 3.05
Rh1 0.1451 0.6451 0.5000  6 Zr 2.68-2.80
Rh2 0.6451 0.8549 0.5000  6 Zr 2.68-2.80
Rh3 0.8549 0.3549 0.5000  6 Zr 2.68-2.80
Rh4 0.3549 0.1451 0.5000  6 Zr 2.68-2.80
Zr1 0.3446 0.8446 0.0000  6 Rh 2.68-2.80, 2 Nb 2.95
Zr2 0.8446 0.6554 0.0000  6 Rh 2.68-2.80, 2 Nb 2.95
Zr3 0.6554 0.1554 0.0000  6 Rh 2.68-2.80, 2 Nb 2.95
Zr4 0.1554 0.3446 0.0000  6 Rh 2.68-2.80, 2 Nb 2.95

Properties
D(E_F)	5.5	states/eV/f.u.
crystal system	tetragonal


Computed stability ranking, most favorable first: entry a, entry b


Entry a
This record from Alexandria describes a relaxed structure of Nb4Ru. The functional is PBE.

Unit cell a=2.9057 b=5.3835 c=6.9972 alpha=110.06 beta=97.61 gamma=57.35
Last column: nearest neighbours and their distance in Å.
Positions (direct):
Nb1 0.1982 0.4034 0.8069  6 Nb 2.71-2.91, 2 Ru 2.77-2.78
Nb2 0.8018 0.5966 0.1931  6 Nb 2.71-2.91, 2 Ru 2.77-2.78
Nb3 0.3915 0.8009 0.6018  1 Ru 2.77, 7 Nb 2.79-2.91
Nb4 0.6085 0.1991 0.3982  1 Ru 2.77, 7 Nb 2.79-2.91
Ru1 0.0000 0.0000 0.0000  6 Nb 2.77-2.78, 2 Ru 2.91

Properties
D(E_F)	3.4	states/eV/f.u.
crystal system	triclinic


Entry b
This record from Alexandria describes a relaxed structure of Nb4Ru. The functional is PBE.

Unit cell a=4.7697 b=4.7697 c=4.7697 alpha=90.00 beta=90.00 gamma=90.00
Last column: nearest neighbours and their distance in Å.
Positions (direct):
Ru1 0.5000 0.5000 0.5000  6 Nb 2.38
Nb1 0.0000 0.0000 0.0000  12 Nb 3.37
Nb2 0.5000 0.0000 0.5000  2 Ru 2.38
Nb3 0.0000 0.5000 0.5000  2 Ru 2.38
Nb4 0.5000 0.5000 0.0000  2 Ru 2.38

Properties
D(E_F)	8.9	states/eV/f.u.
crystal system	cubic


Entry c
This record from Alexandria describes a relaxed structure of Nb4Ru. The functional is PBE.

Unit cell a=5.5237 b=5.5237 c=7.2211 alpha=112.49 beta=112.49 gamma=90.00
Last column: nearest neighbours and their distance in Å.
Positions (direct):
Nb1 0.0373 0.9086 0.3488  2 Ru 2.65-2.69, 2 Nb 2.80
Nb2 0.1902 0.2873 0.8488  2 Ru 2.65-2.69, 2 Nb 2.80
Nb3 0.7127 0.3414 0.1512  2 Ru 2.65-2.69, 2 Nb 2.80
Nb4 0.0914 0.6884 0.6512  2 Ru 2.65-2.69, 2 Nb 2.80
Nb5 0.6586 0.5616 0.8488  2 Ru 2.65-2.69, 2 Nb 2.80
Nb6 0.4384 0.8098 0.1512  2 Ru 2.65-2.69, 2 Nb 2.80
Nb7 0.5598 0.9627 0.6512  2 Ru 2.65-2.69, 2 Nb 2.80
Nb8 0.3116 0.4402 0.3488  2 Ru 2.65-2.69, 2 Nb 2.80
Ru1 0.7500 0.2500 0.5000  8 Nb 2.65-2.69
Ru2 0.0000 0.0000 0.0000  8 Nb 2.65-2.69

Properties
D(E_F)	5.4	states/eV/f.u.
crystal system	tetragonal


Computed stability ranking, most favorable first: entry a, entry c, entry b


Entry a
This record from Alexandria describes a relaxed structure of NbRuS2. The functional is PBE.

Unit cell a=4.3096 b=4.3096 c=4.3096 alpha=60.00 beta=60.00 gamma=60.00
Last column: nearest neighbours and their distance in Å.
Positions (direct):
Ru1 0.5000 0.5000 0.5000  8 S 2.64
Nb1 0.0000 0.0000 0.0000  8 S 2.64
S1 0.2500 0.2500 0.2500  4 Ru 2.64, 4 Nb 2.64
S2 0.7500 0.7500 0.7500  4 Ru 2.64, 4 Nb 2.64

Properties
D(E_F)	2.9	states/eV/f.u.
crystal system	cubic


Entry b
This record from Alexandria describes a relaxed structure of NbRuS2. The functional is PBE.

Unit cell a=8.1355 b=8.1355 c=8.1355 alpha=22.08 beta=22.08 gamma=22.08
Last column: nearest neighbours and their distance in Å.
Positions (direct):
Ru1 0.0000 0.0000 0.0000  2 S 2.26
Nb1 0.5000 0.5000 0.5000  6 S 2.48
S1 0.9053 0.9053 0.9053  1 Ru 2.26, 3 Nb 2.48
S2 0.0947 0.0947 0.0947  1 Ru 2.26, 3 Nb 2.48

Properties
D(E_F)	3.4	states/eV/f.u.
crystal system	trigonal


Computed stability ranking, most favorable first: entry b, entry a


Entry a
This record from Alexandria describes a relaxed structure of Nb2RuS2. The functional is PBE.

Unit cell a=6.8503 b=6.8503 c=3.1837 alpha=90.00 beta=90.00 gamma=90.00
Last column: nearest neighbours and their distance in Å.
Positions (direct):
Ru1 0.0000 0.0000 0.0000  4 S 2.59
Ru2 0.5000 0.5000 0.0000  4 S 2.59
Nb1 0.1497 0.6497 0.5000  6 S 2.47-2.62
Nb2 0.6497 0.8503 0.5000  6 S 2.47-2.62
Nb3 0.8503 0.3503 0.5000  6 S 2.47-2.62
Nb4 0.3503 0.1497 0.5000  6 S 2.47-2.62
S1 0.3453 0.8453 0.0000  6 Nb 2.47-2.62, 2 Ru 2.59
S2 0.8453 0.6547 0.0000  6 Nb 2.47-2.62, 2 Ru 2.59
S3 0.6547 0.1547 0.0000  6 Nb 2.47-2.62, 2 Ru 2.59
S4 0.1547 0.3453 0.0000  6 Nb 2.47-2.62, 2 Ru 2.59

Properties
D(E_F)	4.5	states/eV/f.u.
crystal system	tetragonal


Entry b
This record from Alexandria describes a relaxed structure of Nb2RuS2. The functional is PBE.

Unit cell a=4.8258 b=4.8258 c=4.9790 alpha=61.01 beta=61.01 gamma=90.00
Last column: nearest neighbours and their distance in Å.
Positions (direct):
Ru1 0.0000 0.0000 0.0000  2 S 2.30
Nb1 0.7500 0.2500 0.5000  4 S 2.46
Nb2 0.2500 0.7500 0.5000  4 S 2.46
S1 0.3169 0.3169 0.3662  1 Ru 2.30, 4 Nb 2.46
S2 0.6831 0.6831 0.6338  1 Ru 2.30, 4 Nb 2.46

Properties
D(E_F)	3.1	states/eV/f.u.
crystal system	tetragonal


Computed stability ranking, most favorable first: entry a, entry b